## La6In2CuRu (PBE)

Data for a relaxed structure of La6In2CuRu.

abc: 7.806 7.806 7.806
angles: 60.00 60.00 60.00
Positions (direct):
1 La 0.247 0.247 0.753
2 La 0.247 0.753 0.247
3 La 0.247 0.753 0.753
4 La 0.753 0.247 0.247
5 La 0.753 0.247 0.753
6 La 0.753 0.753 0.247
7 In 0.250 0.250 0.250
8 In 0.750 0.750 0.750
9 Cu 0.500 0.500 0.500
10 Ru 0.000 0.000 0.000

- V (Å³/atom) = 33.6
- raw total energy (eV per atom) = -5.02
- ΔH_f (0 K) (eV/atom) = -0.178

## Tb8BiPb5 (PBE)

Data for a relaxed structure of Tb8BiPb5.

abc: 8.174 8.174 8.174
angles: 109.45 109.45 109.51
Positions (direct):
1 Tb 0.126 0.235 0.748
2 Tb 0.126 0.731 0.749
3 Tb 0.269 0.017 0.394
4 Tb 0.487 0.378 0.252
5 Tb 0.622 0.874 0.109
6 Tb 0.623 0.874 0.606
7 Tb 0.765 0.513 0.891
8 Tb 0.983 0.377 0.251
9 Bi 0.000 0.000 0.000
10 Pb 0.248 0.624 0.124
11 Pb 0.376 0.500 0.624
12 Pb 0.500 0.124 0.876
13 Pb 0.750 0.250 0.500
14 Pb 0.876 0.752 0.376

- V (Å³/atom) = 30.0
- raw total energy (eV per atom) = -4.83
- ΔH_f (0 K) (eV/atom) = -0.584